1.
VASP calculation (PBE) on a relaxed structure of KTe2ICl.

abc: 6.898 6.898 6.366
angles: 90.00 90.00 90.00
Space group P4/mmm (No. 123)
Inequivalent atoms, fractional coordinates:
K 0.000 0.000 0.000 x1
Te 0.000 0.500 0.000 x2
I 0.000 0.000 0.500 x1
Cl 0.500 0.500 0.500 x1

## Properties
E = -8.3 eV/cell
Offset from the most stable computed form = 3.06 eV per formula unit
Formation energy (no corrections) = 2.52 eV/f.u.

***

2.
VASP calculation (PBE) on a relaxed structure of K2TiI4Cl2.

abc: 12.959 8.141 8.078
angles: 90.00 127.56 90.00
Space group C2/m (No. 12)
Inequivalent atoms, fractional coordinates:
K 0.248 0.000 0.286 x4
Ti 0.000 0.000 0.500 x2
I 0.031 0.243 0.772 x8
Cl 0.223 0.000 0.669 x4

## Properties
E = -63.1 eV/cell
Formation energy (no corrections) = -11.54 eV/f.u.

***

3.
VASP calculation (PBE) on a relaxed structure of K2TiI2Cl4.

abc: 7.387 7.387 10.998
angles: 90.00 90.00 90.00
Space group I4/mmm (No. 139)
Inequivalent atoms, fractional coordinates:
K 0.000 0.500 0.250 x4
Ti 0.000 0.000 0.000 x2
I 0.000 0.000 0.257 x4
Cl 0.224 0.224 0.000 x8

## Properties
E = -68.5 eV/cell
Formation energy (no corrections) = -13.68 eV/f.u.

***

4.
VASP calculation (PBE) on a relaxed structure of KTiICl4.

abc: 13.936 7.706 10.600
angles: 90.00 116.69 90.00
Space group C2/m (No. 12)
Inequivalent atoms, fractional coordinates:
K 0.164 0.000 0.261 x4
Ti 0.198 0.000 0.790 x4
I 0.179 0.500 0.359 x4
Cl 0.092 0.000 0.912 x4
Cl 0.126 0.253 0.687 x8
Cl 0.151 0.500 0.012 x4

## Properties
E = -114.4 eV/cell
Formation energy (no corrections) = -10.67 eV/f.u.

***

5.
VASP calculation (PBE) on a relaxed structure of KTl2ICl4.

abc: 8.681 9.989 12.377
angles: 90.00 90.00 90.00
Space group Imma (No. 74)
Inequivalent atoms, fractional coordinates:
K 0.000 0.000 0.000 x4
Tl 0.000 0.000 0.500 x4
Tl 0.250 0.250 0.250 x4
I 0.250 0.250 0.750 x4
Cl 0.000 0.068 0.248 x8
Cl 0.247 0.250 0.033 x8

## Properties
E = -88.5 eV/cell
Formation energy (no corrections) = -7.36 eV/f.u.

***

6.
VASP calculation (PBE) on a relaxed structure of K2Tl3I2Cl4.

abc: 5.710 5.710 27.090
angles: 90.00 90.00 90.00
Space group I4/mmm (No. 139)
Inequivalent atoms, fractional coordinates:
K 0.000 0.000 0.111 x4
Tl 0.000 0.000 0.368 x4
Tl 0.000 0.000 0.500 x2
I 0.000 0.000 0.243 x4
Cl 0.000 0.500 0.077 x8

## Properties
E = -62.5 eV/cell
Formation energy (no corrections) = -11.49 eV/f.u.